# Li2Nd2Si4Pt

An optimized crystal structure of Li2Nd2Si4Pt (GGA-PBE, the Alexandria database).

Magnetic moment (μB/atom): 0.0000
Energy relative to the elements, uncorrected (eV/atom): -0.62
Total DFT energy (no corrections) (Ry per atom): -0.381
V (Å³ per cell): 160.80

Lattice parameters (Å, degrees): 6.163 6.163 6.163 121.78 121.78 86.95
Fractional coordinates of all 9 atoms:
Li: 0.214 0.214 0.000
Li: 0.786 0.786 0.000
Nd: 0.250 0.750 0.500
Nd: 0.750 0.250 0.500
Si: 0.209 0.209 0.418
Si: 0.209 0.791 0.000
Si: 0.791 0.209 0.000
Si: 0.791 0.791 0.582
Pt: 0.500 0.500 0.000


# KZrInSe2

An optimized crystal structure of KZrInSe2 (GGA-PBE, the Alexandria database).

Magnetic moment (μB/atom): 0.5305
Energy relative to the elements, uncorrected (eV/atom): 0.63
Total DFT energy (no corrections) (Ry per atom): -0.239
V (Å³ per cell): 165.71

Lattice parameters (Å, degrees): 5.474 5.474 5.531 90.00 90.00 90.00
Fractional coordinates of all 5 atoms:
K: 0.000 0.000 0.000
Zr: 0.500 0.500 0.000
In: 0.000 0.000 0.500
Se: 0.000 0.500 0.500
Se: 0.500 0.000 0.500


# Rb2ZrBr8

An optimized crystal structure of Rb2ZrBr8 (GGA-PBE, the Alexandria database).

Magnetic moment (μB/atom): 0.0000
Energy relative to the elements, uncorrected (eV/atom): -1.28
Total DFT energy (no corrections) (Ry per atom): -0.253
V (Å³ per cell): 505.44

Lattice parameters (Å, degrees): 8.421 8.421 8.093 109.73 109.73 89.01
Fractional coordinates of all 11 atoms:
Rb: 0.206 0.206 0.119
Rb: 0.794 0.794 0.881
Zr: 0.000 0.000 0.500
Br: 0.134 0.820 0.716
Br: 0.180 0.866 0.284
Br: 0.251 0.251 0.728
Br: 0.432 0.432 0.574
Br: 0.568 0.568 0.426
Br: 0.749 0.749 0.272
Br: 0.820 0.134 0.716
Br: 0.866 0.180 0.284


# La3Pm3PrTe8

An optimized crystal structure of La3Pm3PrTe8 (GGA-PBE, the Alexandria database).

Magnetic moment (μB/atom): 0.0000
Energy relative to the elements, uncorrected (eV/atom): -1.52
Total DFT energy (no corrections) (Ry per atom): -0.401
V (Å³ per cell): 518.49

Lattice parameters (Å, degrees): 9.044 9.044 9.044 59.62 59.62 59.62
Fractional coordinates of all 15 atoms:
La: 0.000 0.500 0.500
La: 0.500 0.000 0.500
La: 0.500 0.500 0.000
Pm: 0.000 0.000 0.500
Pm: 0.000 0.500 0.000
Pm: 0.500 0.000 0.000
Pr: 0.500 0.500 0.500
Te: 0.240 0.755 0.755
Te: 0.245 0.245 0.760
Te: 0.245 0.760 0.245
Te: 0.248 0.248 0.248
Te: 0.752 0.752 0.752
Te: 0.755 0.240 0.755
Te: 0.755 0.755 0.240
Te: 0.760 0.245 0.245


# TcTe2P

An optimized crystal structure of TcTe2P (GGA-PBE, the Alexandria database).

Magnetic moment (μB/atom): 0.0873
Energy relative to the elements, uncorrected (eV/atom): 0.71
Total DFT energy (no corrections) (Ry per atom): -0.353
V (Å³ per cell): 78.53

Lattice parameters (Å, degrees): 4.880 4.880 3.298 90.00 90.00 90.00
Fractional coordinates of all 4 atoms:
Tc: 0.000 0.000 0.000
Te: 0.000 0.500 0.500
Te: 0.500 0.000 0.500
P: 0.500 0.500 0.000


# SrLa2Pt

An optimized crystal structure of SrLa2Pt (GGA-PBE, the Alexandria database).

Formation enthalpy at 0 K (kJ/mol of formula units): -65.5
Magnetic moment (μB/atom): 0.0000
Total DFT energy (no corrections) (Ry per atom): -0.335
V (Å³ per cell): 119.16

Lattice parameters (Å, degrees): 4.455 5.013 5.336 90.00 90.00 90.00
Fractional coordinates of all 4 atoms:
Sr: 0.000 0.000 0.000
La: 0.000 0.500 0.500
La: 0.500 0.000 0.500
Pt: 0.500 0.500 0.000


# CrCdB3

An optimized crystal structure of CrCdB3 (GGA-PBE, the Alexandria database).

Formation enthalpy at 0 K (kJ/mol of formula units): 1355.9
Magnetic moment (μB/atom): 0.0028
Total DFT energy (no corrections) (Ry per atom): -0.243
V (Å³ per cell): 75.13

Lattice parameters (Å, degrees): 4.220 4.220 4.220 90.00 90.00 90.00
Fractional coordinates of all 5 atoms:
Cr: 0.000 0.000 0.000
Cd: 0.500 0.500 0.500
B: 0.000 0.500 0.500
B: 0.500 0.000 0.500
B: 0.500 0.500 0.000


# Cd3In4Hg

An optimized crystal structure of Cd3In4Hg (GGA-PBE, the Alexandria database).

Formation enthalpy at 0 K (kJ/mol of formula units): 23.0
Magnetic moment (μB/atom): 0.0000
Total DFT energy (no corrections) (Ry per atom): -0.126
V (Å³ per cell): 203.69

Lattice parameters (Å, degrees): 11.301 11.301 5.340 102.71 102.71 17.84
Fractional coordinates of all 8 atoms:
Cd: 0.000 0.000 0.000
Cd: 0.123 0.123 0.799
Cd: 0.877 0.877 0.201
In: 0.252 0.252 0.253
In: 0.378 0.378 0.706
In: 0.622 0.622 0.294
In: 0.748 0.748 0.747
Hg: 0.500 0.500 0.500